(1)
A relaxed structure of NpSi2Sb. Source: the Alexandria database, functional PBE.

Cell: 4.342 4.342 4.100 Å, 90.00 90.00 90.00°
Space group P4/mmm (No. 123)
Asymmetric unit:
Np (0.000, 0.000, 0.000) [1 per cell]
Si (0.000, 0.500, 0.500) [2 per cell]
Sb (0.500, 0.500, 0.000) [1 per cell]

Values from the calculation:
- DFT total energy (eV per atom) = -7.042
- raw formation energy (eV/atom) = -0.064
- M_tot (μB per cell) = 3.15



(2)
A relaxed structure of Y2RuRh2. Source: the Alexandria database, functional PBE.

Cell: 6.889 6.889 4.197 Å, 90.00 90.00 90.00°
Space group P4/mbm (No. 127)
Asymmetric unit:
Y (0.179, 0.321, 0.000) [4 per cell]
Ru (0.000, 0.000, 0.500) [2 per cell]
Rh (0.132, 0.632, 0.500) [4 per cell]

Values from the calculation:
- DFT total energy (eV per atom) = -7.816
- polymorph energy (0 for the lowest one) (meV/atom) = 0.0
- M_tot (μB per cell) = 0.96
- formation enthalpy at 0 K (kJ per mole of atoms) = -41.9



(3)
A relaxed structure of LaTb5Pm. Source: the Alexandria database, functional PBE.

Cell: 11.854 6.880 12.240 Å, 90.00 109.84 90.00°
Space group C2/c (No. 15)
Asymmetric unit:
La (0.000, 0.027, 0.250) [4 per cell]
Tb (0.000, 0.410, 0.750) [4 per cell]
Tb (0.079, 0.277, 0.499) [8 per cell]
Tb (0.220, 0.366, 0.251) [8 per cell]
Pm (0.250, 0.250, 0.000) [4 per cell]

Values from the calculation:
- DFT total energy (eV per atom) = -4.502
- polymorph energy (0 for the lowest one) (meV/atom) = 0.0
- M_tot (μB per cell) = 0.00
- formation enthalpy at 0 K (kJ per mole of atoms) = 18.1